1.
NaCdIn2Cu: relaxed, PBE-GGA.

Cell: 5.101 5.101 5.112 Å, 90.00 90.00 90.00°
Fractional coordinates of all 5 atoms:
In1 0.000 0.500 0.000
Cu1 0.000 0.000 0.000
Na1 0.500 0.500 0.500
In2 0.500 0.000 0.000
Cd1 0.000 0.000 0.500

Computed properties:
energy: -0.0846 Ha/atom
calculated density: 5.351 g/cm3
D(E_F): 1.9 states/eV per cell
energy above the most stable polymorph in this dataset: 0 meV per atom
SG: P4/mmm



2.
NdCdInCu: relaxed, PBE-GGA.

Cell: 5.010 5.010 5.010 Å, 60.00 60.00 60.00°
Fractional coordinates of all 4 atoms:
In1 0.250 0.250 0.250
Cu1 0.500 0.500 0.500
Nd1 0.750 0.750 0.750
Cd1 0.000 0.000 0.000

Computed properties:
energy: -0.1243 Ha/atom
calculated density: 8.125 g/cm3
D(E_F): 1.9 states/eV per cell
SG: F-43m



3.
Cd2In2CuPd5: relaxed, PBE-GGA.

Cell: 3.151 10.794 10.794 Å, 90.00 90.00 90.00°
Fractional coordinates of all 20 atoms:
Pd1 0.500 0.143 0.130
In1 0.000 0.148 0.648
Cu1 0.000 0.000 0.000
Pd2 0.500 0.630 0.643
Cd1 0.000 0.849 0.651
Pd3 0.500 0.000 0.500
Pd4 0.500 0.357 0.630
Pd5 0.500 0.130 0.857
Pd6 0.500 0.870 0.143
Pd7 0.500 0.500 0.000
In2 0.000 0.352 0.148
In3 0.000 0.852 0.352
Pd8 0.500 0.643 0.370
Pd9 0.500 0.857 0.870
In4 0.000 0.648 0.852
Cu2 0.000 0.500 0.500
Cd2 0.000 0.349 0.849
Pd10 0.500 0.370 0.357
Cd3 0.000 0.151 0.349
Cd4 0.000 0.651 0.151

Computed properties:
energy: -0.1464 Ha/atom
calculated density: 9.500 g/cm3
D(E_F): 7.2 states/eV per cell
SG: P4/mbm



4.
Cd2InCu2Pd5: relaxed, PBE-GGA.

Cell: 3.924 9.261 9.261 Å, 90.00 90.00 90.00°
Fractional coordinates of all 20 atoms:
In1 0.000 0.500 0.500
Cd1 0.000 0.331 0.831
Pd1 0.500 0.301 0.581
Cd2 0.000 0.831 0.669
Cu1 0.000 0.875 0.375
Pd2 0.500 0.919 0.199
Pd3 0.500 0.199 0.081
Pd4 0.500 0.500 0.000
Pd5 0.500 0.581 0.699
Pd6 0.500 0.699 0.419
Cd3 0.000 0.169 0.331
In2 0.000 0.000 0.000
Pd7 0.500 0.000 0.500
Cu2 0.000 0.375 0.125
Cu3 0.000 0.125 0.625
Pd8 0.500 0.801 0.919
Cu4 0.000 0.625 0.875
Pd9 0.500 0.081 0.801
Cd4 0.000 0.669 0.169
Pd10 0.500 0.419 0.301

Computed properties:
energy: -0.1514 Ha/atom
calculated density: 9.855 g/cm3
D(E_F): 9.6 states/eV per cell
SG: P4/mbm



5.
PmCdInCu: relaxed, PBE-GGA.

Cell: 4.986 4.986 4.986 Å, 60.00 60.00 60.00°
Fractional coordinates of all 4 atoms:
Cd1 0.750 0.750 0.750
Cu1 0.250 0.250 0.250
Pm1 0.500 0.500 0.500
In1 0.000 0.000 0.000

Computed properties:
energy: -0.1243 Ha/atom
calculated density: 8.258 g/cm3
D(E_F): 1.9 states/eV per cell
SG: F-43m



6.
PrCdInCu: relaxed, PBE-GGA.

Cell: 5.036 5.036 5.036 Å, 60.00 60.00 60.00°
Fractional coordinates of all 4 atoms:
Cu1 0.000 0.000 0.000
In1 0.750 0.750 0.750
Cd1 0.500 0.500 0.500
Pr1 0.250 0.250 0.250

Computed properties:
energy: -0.1244 Ha/atom
calculated density: 7.938 g/cm3
D(E_F): 2.0 states/eV per cell
SG: F-43m



7.
RbCdIn2Cu: relaxed, PBE-GGA.

Cell: 5.274 5.274 5.306 Å, 90.00 90.00 90.00°
Fractional coordinates of all 5 atoms:
In1 0.500 0.000 0.000
In2 0.000 0.500 0.000
Cu1 0.000 0.000 0.000
Rb1 0.500 0.500 0.500
Cd1 0.000 0.000 0.500

Computed properties:
energy: -0.0818 Ha/atom
calculated density: 5.526 g/cm3
D(E_F): 2.4 states/eV per cell
SG: P4/mmm



8.
RbCd2InCu: relaxed, PBE-GGA.

Cell: 5.274 5.274 5.177 Å, 90.00 90.00 90.00°
Fractional coordinates of all 5 atoms:
Cd1 0.500 0.000 0.000
Cu1 0.000 0.000 0.000
Cd2 0.000 0.500 0.000
Rb1 0.500 0.500 0.500
In1 0.000 0.000 0.500

Computed properties:
energy: -0.0688 Ha/atom
calculated density: 5.635 g/cm3
D(E_F): 2.5 states/eV per cell
SG: P4/mmm



9.
CdIn2CuS4: relaxed, PBE-GGA.

Cell: 5.900 5.900 7.085 Å, 114.66 114.66 89.89°
Fractional coordinates of all 8 atoms:
S1 0.152 0.152 0.768
In1 0.250 0.750 0.500
In2 0.750 0.250 0.500
Cd1 0.000 0.000 0.000
Cu1 0.500 0.500 0.000
S2 0.848 0.385 0.233
S3 0.385 0.848 0.233
S4 0.616 0.616 0.768

Computed properties:
energy: -0.1404 Ha/atom
calculated density: 4.449 g/cm3
ΔE_f (raw): -3.6 eV per formula unit
D(E_F): 2.9 states/eV per cell
SG: Fmm2



10.
CdIn2CuSe4: relaxed, PBE-GGA.

Cell: 6.194 6.194 7.427 Å, 114.68 114.68 89.92°
Fractional coordinates of all 8 atoms:
Se1 0.152 0.152 0.769
In1 0.250 0.750 0.500
Se2 0.617 0.617 0.769
Cd1 0.000 0.000 0.000
In2 0.750 0.250 0.500
Cu1 0.500 0.500 0.000
Se3 0.383 0.848 0.231
Se4 0.848 0.383 0.231

Computed properties:
energy: -0.1283 Ha/atom
calculated density: 5.208 g/cm3
ΔE_f (raw): -3.5 eV per formula unit
D(E_F): 2.8 states/eV per cell
SG: Fmm2



11.
CdInCu3Se4: relaxed, PBE-GGA.

Cell: 6.014 6.014 6.014 Å, 90.00 90.00 90.00°
Fractional coordinates of all 9 atoms:
Cd1 0.500 0.500 0.500
Se1 0.248 0.248 0.248
Cu1 0.500 0.000 0.000
In1 0.000 0.000 0.000
Se2 0.752 0.752 0.248
Se3 0.248 0.752 0.752
Se4 0.752 0.248 0.752
Cu2 0.000 0.000 0.500
Cu3 0.000 0.500 0.000

Computed properties:
energy: -0.1270 Ha/atom
calculated density: 5.601 g/cm3
ΔE_f (raw): -1.2 eV per formula unit
D(E_F): 2.0 states/eV per cell
SG: P-43m



12.
SmCdInCu: relaxed, PBE-GGA.

Cell: 4.970 4.970 4.970 Å, 60.00 60.00 60.00°
Fractional coordinates of all 4 atoms:
In1 0.000 0.000 0.000
Cd1 0.750 0.750 0.750
Sm1 0.500 0.500 0.500
Cu1 0.250 0.250 0.250

Computed properties:
energy: -0.1238 Ha/atom
calculated density: 8.439 g/cm3
D(E_F): 1.9 states/eV per cell
SG: F-43m